[1]
Here is a relaxed structure of Sr2LaTl from Alexandria via LeMat-Bulk. Energies are from GGA-PBE.

Cell and atoms, written as CIF:
```
data_Sr2LaTl
_chemical_formula_sum 'Sr4 La2 Tl2'
_space_group_name_H-M_alt 'I 4/m m m'
_space_group_IT_number 139
_space_group_name_Hall '-I 4 2'
_cell_length_a 5.154
_cell_length_b 5.154
_cell_length_c 11.305
_cell_angle_alpha 90.00
_cell_angle_beta 90.00
_cell_angle_gamma 90.00
loop_
_atom_site_label
_atom_site_fract_x
_atom_site_fract_y
_atom_site_fract_z
Sr1 0.000 0.500 0.250
La1 0.000 0.000 0.000
Tl1 0.000 0.000 0.500
```

## Properties
- formation enthalpy at 0 K (kJ per mole of atoms) = -4.9
- final energy (eV per atom) = -2.72

***

[2]
Here is a relaxed structure of NaSmAu2 from Alexandria via LeMat-Bulk. Energies are from GGA-PBE.

Cell and atoms, written as CIF:
```
data_NaSmAu2
_chemical_formula_sum 'Na1 Sm1 Au2'
_space_group_name_H-M_alt 'P 4/m m m'
_space_group_IT_number 123
_space_group_name_Hall '-P 4 2'
_cell_length_a 3.674
_cell_length_b 3.674
_cell_length_c 7.280
_cell_angle_alpha 90.00
_cell_angle_beta 90.00
_cell_angle_gamma 90.00
loop_
_atom_site_label
_atom_site_fract_x
_atom_site_fract_y
_atom_site_fract_z
Na1 0.000 0.000 0.000
Sm1 0.000 0.000 0.500
Au1 0.500 0.500 0.274
```

## Properties
- formation enthalpy at 0 K (kJ per mole of atoms) = -55.3
- final energy (eV per atom) = -3.72

***

[3]
Here is a relaxed structure of Hf2WI from Alexandria via LeMat-Bulk. Energies are from GGA-PBE.

Cell and atoms, written as CIF:
```
data_Hf2WI
_chemical_formula_sum 'Hf8 W4 I4'
_space_group_name_H-M_alt 'I -4 2 d'
_space_group_IT_number 122
_space_group_name_Hall 'I -4 2bw'
_cell_length_a 5.675
_cell_length_b 5.675
_cell_length_c 15.068
_cell_angle_alpha 90.00
_cell_angle_beta 90.00
_cell_angle_gamma 90.00
loop_
_atom_site_label
_atom_site_fract_x
_atom_site_fract_y
_atom_site_fract_z
Hf1 0.172 0.250 0.125
W1 0.000 0.000 0.000
I1 0.000 0.000 0.500
```

## Properties
- raw formation energy (eV/atom) = 1.260
- final energy (eV per atom) = -7.34

***

Please write out number 1 again, unchanged.
Here is a relaxed structure of Sr2LaTl from Alexandria via LeMat-Bulk. Energies are from GGA-PBE.

Cell and atoms, written as CIF:
```
data_Sr2LaTl
_chemical_formula_sum 'Sr4 La2 Tl2'
_space_group_name_H-M_alt 'I 4/m m m'
_space_group_IT_number 139
_space_group_name_Hall '-I 4 2'
_cell_length_a 5.154
_cell_length_b 5.154
_cell_length_c 11.305
_cell_angle_alpha 90.00
_cell_angle_beta 90.00
_cell_angle_gamma 90.00
loop_
_atom_site_label
_atom_site_fract_x
_atom_site_fract_y
_atom_site_fract_z
Sr1 0.000 0.500 0.250
La1 0.000 0.000 0.000
Tl1 0.000 0.000 0.500
```

## Properties
- formation enthalpy at 0 K (kJ per mole of atoms) = -4.9
- final energy (eV per atom) = -2.72